Entry 1:
First-principles (GGA-PBE) data for a relaxed structure of Y3InTe4, as listed in Alexandria.

The structure belongs to space group Pmmn (No. 59, origin choice 2); the cell edges are 6.241, 9.790 and 9.406 Å and the angles 90.00°, 90.00° and 90.00°. The distinct sites, in fractional coordinates, are Y at (0.250, 0.051, 0.154), Y at (0.250, 0.250, 0.761), In at (0.250, 0.750, 0.580), Te at (0.250, 0.250, 0.414), Te at (0.250, 0.547, 0.846) and Te at (0.250, 0.750, 0.239).

The calculation puts the total energy at -5.283 eV/atom. The value obtained for the total moment is 0.41 μB per cell.

---

Entry 2:
First-principles (GGA-PBE) data for a relaxed structure of Y5InTe4, as listed in Alexandria.

The structure belongs to space group I4/m (No. 87); the cell edges are 9.808, 9.808 and 6.181 Å and the angles 90.00°, 90.00° and 90.00°. The distinct sites, in fractional coordinates, are Y at (0.000, 0.000, 0.000), Y at (0.098, 0.291, 0.500), In at (0.000, 0.000, 0.500) and Te at (0.096, 0.302, 0.000).

The calculation puts the total energy at -5.940 eV/atom. The value obtained for the total moment is 0.00 μB per cell.

---

> Which value of total moment does entry 2 give?

0.00 μB per cell

---

> total moment of number 1 (Y3InTe4)?

0.41 μB per cell

---

Please write out number 1 again, unchanged.
First-principles (GGA-PBE) data for a relaxed structure of Y3InTe4, as listed in Alexandria.

The structure belongs to space group Pmmn (No. 59, origin choice 2); the cell edges are 6.241, 9.790 and 9.406 Å and the angles 90.00°, 90.00° and 90.00°. The distinct sites, in fractional coordinates, are Y at (0.250, 0.051, 0.154), Y at (0.250, 0.250, 0.761), In at (0.250, 0.750, 0.580), Te at (0.250, 0.250, 0.414), Te at (0.250, 0.547, 0.846) and Te at (0.250, 0.750, 0.239).

The calculation puts the total energy at -5.283 eV/atom. The value obtained for the total moment is 0.41 μB per cell.

---

> The lowest total moment belongs to which entry?

Y5InTe4